A plane-wave DFT calculation with PBE was carried out for an optimized crystal structure of BaFeSN2.

Cell and atoms, written as POSCAR:
```
BaFeSN2
1.0
4.150 0.000 0.000
0.000 4.150 0.000
0.000 0.000 4.617
Ba Fe S N
1 1 1 2
direct
0.000 0.000 0.000
0.500 0.500 0.500
0.500 0.500 0.000
0.000 0.500 0.500
0.500 0.000 0.500
```

Excess energy over the best structure of this formula in the dataset = 0 meV/atom
Symmetry = No. 123
Magnetic moment = 4.9 μB per cell
Formation energy (no corrections) = 0.191 eV per atom
E_tot = -30.2 eV/cell

A plane-wave DFT calculation with PBE was carried out for an optimized crystal structure of Sr2In6AgPb.

Cell and atoms, written as POSCAR:
```
Sr2In6AgPb
1.0
3.681 2.125 13.581
-3.681 2.125 13.581
0.000 -4.250 13.581
Sr In Ag Pb
4 12 2 2
direct
0.106 0.106 0.106
0.277 0.277 0.277
0.723 0.723 0.723
0.894 0.894 0.894
0.072 0.671 0.671
0.222 0.222 0.639
0.222 0.639 0.222
0.329 0.329 0.928
0.329 0.928 0.329
0.361 0.778 0.778
0.639 0.222 0.222
0.671 0.072 0.671
0.671 0.671 0.072
0.778 0.361 0.778
0.778 0.778 0.361
0.928 0.329 0.329
0.000 0.000 0.000
0.500 0.500 0.500
0.425 0.425 0.425
0.575 0.575 0.575
```

Energy of formation = -0.12 eV/atom
Symmetry = No. 166
Magnetic moment = 0.0 μB per cell
E_tot = -55.1 eV/cell

A plane-wave DFT calculation with PBE was carried out for an optimized crystal structure of Sm4DyTl2.

Cell and atoms, written as POSCAR:
```
Sm4DyTl2
1.0
6.763 0.000 0.000
0.000 10.613 0.000
-0.803 0.000 6.196
Sm Dy Tl
8 2 4
direct
0.000 0.209 0.000
0.000 0.791 0.000
0.250 0.250 0.500
0.250 0.750 0.500
0.500 0.291 0.000
0.500 0.709 0.000
0.750 0.250 0.500
0.750 0.750 0.500
0.000 0.000 0.500
0.500 0.500 0.500
0.076 0.500 0.766
0.424 0.000 0.234
0.576 0.000 0.766
0.924 0.500 0.234
```

Energy of formation = 0.09 eV/atom
Excess energy over the best structure of this formula in the dataset = 44 meV/atom
Symmetry = No. 12
Magnetic moment = 0.5 μB per cell
E_tot = -55.2 eV/cell

A plane-wave DFT calculation with PBE was carried out for an optimized crystal structure of B2TePt.

Cell and atoms, written as POSCAR:
```
B2TePt
1.0
5.163 0.000 0.000
0.000 5.163 0.000
0.000 0.000 9.856
B Te Pt
8 4 4
direct
0.211 0.250 0.125
0.250 0.711 0.375
0.250 0.789 0.875
0.289 0.250 0.625
0.711 0.750 0.625
0.750 0.211 0.875
0.750 0.289 0.375
0.789 0.750 0.125
0.000 0.000 0.500
0.000 0.500 0.750
0.500 0.000 0.250
0.500 0.500 0.000
0.000 0.000 0.000
0.000 0.500 0.250
0.500 0.000 0.750
0.500 0.500 0.500
```

Symmetry = No. 122
Magnetic moment = 0.0 μB per cell
Formation energy (no corrections) = 0.403 eV per atom
E_tot = -83.7 eV/cell

A plane-wave DFT calculation with PBE was carried out for an optimized crystal structure of TbHo3Bi3.

Cell and atoms, written as POSCAR:
```
TbHo3Bi3
1.0
9.365 0.000 0.000
0.000 9.365 0.000
0.000 0.000 9.365
Tb Ho Bi
4 12 12
direct
0.072 0.428 0.572
0.428 0.572 0.072
0.572 0.072 0.428
0.928 0.928 0.928
0.075 0.575 0.925
0.177 0.177 0.177
0.177 0.823 0.323
0.323 0.177 0.823
0.323 0.823 0.677
0.425 0.425 0.425
0.575 0.925 0.075
0.677 0.323 0.823
0.677 0.677 0.677
0.823 0.323 0.177
0.823 0.677 0.323
0.925 0.075 0.575
0.001 0.252 0.876
0.124 0.501 0.248
0.248 0.124 0.501
0.252 0.876 0.001
0.376 0.499 0.748
0.499 0.748 0.376
0.501 0.248 0.124
0.624 0.999 0.752
0.748 0.376 0.499
0.752 0.624 0.999
0.876 0.001 0.252
0.999 0.752 0.624
```

Energy of formation = -0.71 eV/atom
Excess energy over the best structure of this formula in the dataset = 0 meV/atom
Symmetry = No. 198
Magnetic moment = 0.0 μB per cell
E_tot = -140.0 eV/cell

A plane-wave DFT calculation with PBE was carried out for an optimized crystal structure of Tl5InBiPb2.

Cell and atoms, written as POSCAR:
```
Tl5InBiPb2
1.0
1.762 -9.970 0.000
1.762 9.970 0.000
0.000 0.000 16.326
Tl In Bi Pb
10 2 2 4
direct
0.017 0.983 0.500
0.263 0.737 0.710
0.325 0.675 0.052
0.412 0.588 0.369
0.442 0.558 0.674
0.558 0.442 0.174
0.588 0.412 0.869
0.675 0.325 0.552
0.737 0.263 0.210
0.983 0.017 0.000
0.249 0.751 0.387
0.751 0.249 0.887
0.391 0.609 0.862
0.609 0.391 0.362
0.088 0.912 0.691
0.160 0.840 0.043
0.840 0.160 0.543
0.912 0.088 0.191
```

Energy of formation = 0.03 eV/atom
Symmetry = No. 36
Magnetic moment = 0.0 μB per cell
E_tot = -51.1 eV/cell

A plane-wave DFT calculation with PBE was carried out for an optimized crystal structure of SmTm3In.

Cell and atoms, written as POSCAR:
```
SmTm3In
1.0
2.401 -12.518 0.000
2.401 12.518 0.000
0.000 0.000 4.792
Sm Tm In
2 6 2
direct
0.148 0.852 0.750
0.852 0.148 0.250
0.047 0.953 0.250
0.250 0.750 0.250
0.449 0.551 0.250
0.551 0.449 0.750
0.750 0.250 0.750
0.953 0.047 0.750
0.347 0.653 0.750
0.653 0.347 0.250
```

Energy of formation = -0.17 eV/atom
Excess energy over the best structure of this formula in the dataset = 0 meV/atom
Symmetry = No. 63
Magnetic moment = 0.0 μB per cell
E_tot = -43.5 eV/cell

A plane-wave DFT calculation with PBE was carried out for an optimized crystal structure of NaTl2As.

Cell and atoms, written as POSCAR:
```
NaTl2As
1.0
3.887 0.000 0.000
0.000 3.887 0.000
0.000 0.000 7.152
Na Tl As
1 2 1
direct
0.000 0.000 0.000
0.500 0.500 0.279
0.500 0.500 0.721
0.000 0.000 0.500
```

Energy of formation = -0.06 eV/atom
Symmetry = No. 123
Magnetic moment = 0.0 μB per cell
E_tot = -10.9 eV/cell

A plane-wave DFT calculation with PBE was carried out for an optimized crystal structure of Li8YZn4.

Cell and atoms, written as POSCAR:
```
Li8YZn4
1.0
-4.643 4.643 2.630
4.643 -4.643 2.630
4.643 4.643 -2.630
Li Y Zn
8 1 4
direct
0.000 0.219 0.219
0.000 0.781 0.781
0.152 0.500 0.652
0.219 0.000 0.219
0.500 0.152 0.652
0.500 0.848 0.348
0.781 0.000 0.781
0.848 0.500 0.348
0.500 0.500 0.000
0.000 0.000 0.500
0.000 0.500 0.000
0.500 0.000 0.000
0.500 0.500 0.500
```

Energy of formation = -0.12 eV/atom
Symmetry = No. 139
Magnetic moment = 0.0 μB per cell
E_tot = -28.5 eV/cell

A plane-wave DFT calculation with PBE was carried out for an optimized crystal structure of CaCu4Te.

Cell and atoms, written as POSCAR:
```
CaCu4Te
1.0
0.000 3.710 3.710
3.710 0.000 3.710
3.710 3.710 0.000
Ca Cu Te
1 4 1
direct
0.000 0.000 0.000
0.126 0.625 0.625
0.625 0.126 0.625
0.625 0.625 0.126
0.625 0.625 0.625
0.250 0.250 0.250
```

Symmetry = No. 216
Magnetic moment = 0.0 μB per cell
Formation energy (no corrections) = -0.159 eV per atom
E_tot = -22.5 eV/cell

A plane-wave DFT calculation with PBE was carried out for an optimized crystal structure of Li7Ca.

Cell and atoms, written as POSCAR:
```
Li7Ca
1.0
4.566 0.000 0.000
0.000 4.566 0.000
0.000 0.000 17.703
Li Ca
14 2
direct
0.000 0.000 0.000
0.000 0.000 0.246
0.000 0.000 0.754
0.000 0.500 0.139
0.000 0.500 0.361
0.000 0.500 0.639
0.000 0.500 0.861
0.500 0.000 0.139
0.500 0.000 0.361
0.500 0.000 0.639
0.500 0.000 0.861
0.500 0.500 0.254
0.500 0.500 0.500
0.500 0.500 0.746
0.000 0.000 0.500
0.500 0.500 0.000
```

Energy of formation = 0.03 eV/atom
Symmetry = No. 139
Magnetic moment = 0.0 μB per cell
E_tot = -30.3 eV/cell

A plane-wave DFT calculation with PBE was carried out for an optimized crystal structure of RbIr3O.

Cell and atoms, written as POSCAR:
```
RbIr3O
1.0
4.378 0.000 0.000
0.000 4.378 0.000
0.000 0.000 4.378
Rb Ir O
1 3 1
direct
0.000 0.000 0.000
0.000 0.500 0.500
0.500 0.000 0.500
0.500 0.500 0.000
0.500 0.500 0.500
```

Excess energy over the best structure of this formula in the dataset = 0 meV/atom
Symmetry = No. 221
Magnetic moment = 0.0 μB per cell
Formation energy (no corrections) = 1.359 eV per atom
E_tot = -25.7 eV/cell

A plane-wave DFT calculation with PBE was carried out for an optimized crystal structure of LiLaGe3.

Cell and atoms, written as POSCAR:
```
LiLaGe3
1.0
4.625 0.000 0.000
0.000 4.625 0.000
0.000 0.000 9.706
Li La Ge
2 2 6
direct
0.000 0.000 0.000
0.500 0.500 0.500
0.000 0.000 0.362
0.500 0.500 0.862
0.000 0.000 0.745
0.000 0.500 0.114
0.000 0.500 0.614
0.500 0.000 0.114
0.500 0.000 0.614
0.500 0.500 0.245
```

Energy of formation = -0.46 eV/atom
Excess energy over the best structure of this formula in the dataset = 26 meV/atom
Symmetry = No. 107
Magnetic moment = 0.0 μB per cell
E_tot = -46.0 eV/cell

A plane-wave DFT calculation with PBE was carried out for an optimized crystal structure of PmYFe.

Cell and atoms, written as POSCAR:
```
PmYFe
1.0
12.334 0.000 0.000
0.000 3.827 0.000
-5.212 0.000 6.599
Pm Y Fe
4 4 4
direct
0.078 0.000 0.366
0.422 0.500 0.634
0.578 0.500 0.366
0.922 0.000 0.634
0.183 0.500 0.091
0.317 0.000 0.909
0.683 0.000 0.091
0.817 0.500 0.909
0.102 0.500 0.662
0.398 0.000 0.338
0.602 0.000 0.662
0.898 0.500 0.338
```

Energy of formation = 0.07 eV/atom
Excess energy over the best structure of this formula in the dataset = 0 meV/atom
Symmetry = No. 12
Magnetic moment = 3.2 μB per cell
E_tot = -77.8 eV/cell

A plane-wave DFT calculation with PBE was carried out for an optimized crystal structure of SeIN2F.

Cell and atoms, written as POSCAR:
```
SeIN2F
1.0
4.217 0.000 0.000
0.000 4.217 0.000
0.000 0.000 4.308
Se I N F
1 1 2 1
direct
0.000 0.000 0.000
0.500 0.500 0.500
0.000 0.500 0.500
0.500 0.000 0.500
0.500 0.500 0.000
```

Excess energy over the best structure of this formula in the dataset = 328 meV/atom
Symmetry = No. 123
Magnetic moment = 0.0 μB per cell
Formation energy (no corrections) = 1.592 eV per atom
E_tot = -15.6 eV/cell

A plane-wave DFT calculation with PBE was carried out for an optimized crystal structure of Y2FeTe.

Cell and atoms, written as POSCAR:
```
Y2FeTe
1.0
4.202 0.000 0.000
0.000 4.096 0.000
0.000 0.000 11.203
Y Fe Te
4 2 2
direct
0.000 0.000 0.000
0.000 0.500 0.500
0.500 0.000 0.296
0.500 0.500 0.796
0.500 0.000 0.555
0.500 0.500 0.055
0.000 0.000 0.712
0.000 0.500 0.212
```

Excess energy over the best structure of this formula in the dataset = 0 meV/atom
Symmetry = No. 38
Magnetic moment = 2.7 μB per cell
Formation energy (no corrections) = -0.521 eV per atom
E_tot = -53.2 eV/cell

A plane-wave DFT calculation with PBE was carried out for an optimized crystal structure of PuHPb.

Cell and atoms, written as POSCAR:
```
PuHPb
1.0
6.153 0.000 0.000
0.000 3.553 0.000
-0.016 0.000 11.671
Pu H Pb
4 4 4
direct
0.165 0.000 0.365
0.335 0.500 0.635
0.665 0.500 0.365
0.835 0.000 0.635
0.168 0.000 0.558
0.332 0.500 0.442
0.668 0.500 0.558
0.832 0.000 0.442
0.004 0.500 0.870
0.496 0.000 0.130
0.504 0.000 0.870
0.996 0.500 0.130
```

Excess energy over the best structure of this formula in the dataset = 101 meV/atom
Symmetry = No. 12
Magnetic moment = 23.4 μB per cell
E_tot = -87.0 eV/cell

A plane-wave DFT calculation with PBE was carried out for an optimized crystal structure of Ca6Bi3H.

Cell and atoms, written as POSCAR:
```
Ca6Bi3H
1.0
6.182 -7.586 0.000
6.182 7.586 0.000
0.000 0.000 7.296
Ca Bi H
12 6 2
direct
0.048 0.952 0.500
0.108 0.583 0.482
0.225 0.775 0.952
0.312 0.365 0.957
0.365 0.312 0.457
0.417 0.892 0.482
0.583 0.108 0.982
0.635 0.688 0.957
0.688 0.635 0.457
0.775 0.225 0.452
0.892 0.417 0.982
0.952 0.048 0.000
0.067 0.280 0.671
0.280 0.067 0.171
0.388 0.612 0.248
0.612 0.388 0.748
0.720 0.933 0.671
0.933 0.720 0.171
0.194 0.806 0.618
0.806 0.194 0.118
```

Symmetry = No. 36
Magnetic moment = 3.5 μB per cell
E_tot = -66.6 eV/cell

A plane-wave DFT calculation with PBE was carried out for an optimized crystal structure of TmMgPd2.

Cell and atoms, written as POSCAR:
```
TmMgPd2
1.0
3.346 0.000 0.000
0.000 3.346 0.000
0.000 0.000 6.607
Tm Mg Pd
1 1 2
direct
0.000 0.000 0.000
0.000 0.000 0.500
0.500 0.500 0.266
0.500 0.500 0.734
```

Energy of formation = -0.84 eV/atom
Symmetry = No. 123
Magnetic moment = 0.0 μB per cell
E_tot = -19.8 eV/cell

A plane-wave DFT calculation with PBE was carried out for an optimized crystal structure of ZrSb2OsI.

Cell and atoms, written as POSCAR:
```
ZrSb2OsI
1.0
5.590 0.000 0.000
0.000 5.590 0.000
0.000 0.000 5.492
Zr Sb Os I
1 2 1 1
direct
0.000 0.000 0.000
0.000 0.500 0.000
0.500 0.000 0.000
0.500 0.500 0.500
0.000 0.000 0.500
```

Excess energy over the best structure of this formula in the dataset = 507 meV/atom
Symmetry = No. 123
Magnetic moment = 3.7 μB per cell
Formation energy (no corrections) = 1.383 eV per atom
E_tot = -22.7 eV/cell

A plane-wave DFT calculation with PBE was carried out for an optimized crystal structure of KCa2Re.

Cell and atoms, written as POSCAR:
```
KCa2Re
1.0
3.109 0.000 0.000
0.000 4.949 0.000
0.000 0.000 8.842
K Ca Re
1 2 1
direct
0.000 0.000 0.000
0.000 0.000 0.387
0.500 0.500 0.622
0.500 0.500 0.295
```

Energy of formation = 0.96 eV/atom
Excess energy over the best structure of this formula in the dataset = 271 meV/atom
Symmetry = No. 25
Magnetic moment = 0.3 μB per cell
E_tot = -13.7 eV/cell

A plane-wave DFT calculation with PBE was carried out for an optimized crystal structure of RbAc2ZnO5.

Cell and atoms, written as POSCAR:
```
RbAc2ZnO5
1.0
-3.626 3.626 5.922
3.626 -3.626 5.922
3.626 3.626 -5.922
Rb Ac Zn O
2 4 2 10
direct
0.250 0.250 0.000
0.750 0.750 0.000
0.177 0.677 0.855
0.323 0.177 0.500
0.677 0.823 0.500
0.823 0.323 0.145
0.250 0.750 0.500
0.750 0.250 0.500
0.000 0.000 0.000
0.004 0.240 0.500
0.240 0.740 0.236
0.260 0.496 0.500
0.496 0.996 0.236
0.500 0.500 0.000
0.504 0.004 0.764
0.740 0.504 0.500
0.760 0.260 0.764
0.996 0.760 0.500
```

Symmetry = No. 140
Magnetic moment = 2.0 μB per cell
Formation energy (no corrections) = -2.321 eV per atom
E_tot = -112.3 eV/cell

A plane-wave DFT calculation with PBE was carried out for an optimized crystal structure of Pm3Er2Cd.

Cell and atoms, written as POSCAR:
```
Pm3Er2Cd
1.0
4.973 0.000 0.000
0.000 15.177 0.000
0.000 0.000 4.873
Pm Er Cd
6 4 2
direct
0.000 0.000 0.000
0.000 0.330 0.000
0.000 0.670 0.000
0.500 0.170 0.000
0.500 0.500 0.000
0.500 0.830 0.000
0.000 0.164 0.500
0.000 0.836 0.500
0.500 0.336 0.500
0.500 0.664 0.500
0.000 0.500 0.500
0.500 0.000 0.500
```

Energy of formation = -0.06 eV/atom
Excess energy over the best structure of this formula in the dataset = 29 meV/atom
Symmetry = No. 65
Magnetic moment = 0.0 μB per cell
E_tot = -49.3 eV/cell